No. 1
A plane-wave DFT calculation with PBE was carried out for a relaxed BaAcN crystal.

Computed properties:
formation energy (no corrections)	-600	meV per atom
DOS(E_F)	5.54	states/eV/cell
magnetization	0.00	μB/f.u.
energy	-5.385	eV per atom
SG	No. 12

Lattice parameters (Å, degrees): 4.0003 4.0003 11.8530 90.03 90.03 90.00
With the nearest neighbours (Å) after each atom.
Atoms (fractional coordinates):
Ba  0.2508  0.2508  0.3488  1 N 2.92
Ba  0.7492  0.7492  0.6512  1 N 2.92
N  0.7499  0.7499  0.8977  1 Ac 2.48
N  0.2501  0.2501  0.1023  1 Ac 2.48
Ac  0.2498  0.2498  0.8935  1 N 2.48
Ac  0.7502  0.7502  0.1065  1 N 2.48

***

No. 2
A plane-wave DFT calculation with PBE was carried out for a relaxed Al2Ga2Te crystal.

Computed properties:
formation energy (no corrections)	78	meV per atom
DOS(E_F)	5.07	states/eV/cell
magnetization	0.00	μB/f.u.
energy	-3.258	eV per atom
SG	No. 127

Lattice parameters (Å, degrees): 8.3283 8.3283 2.9635 90.00 90.00 90.00
With the nearest neighbours (Å) after each atom.
Atoms (fractional coordinates):
Te  0.0000  0.0000  0.0000  2 Te 2.96, 4 Ga 3.10
Te  0.5000  0.5000  0.0000  2 Te 2.96, 4 Ga 3.10
Ga  0.6669  0.1669  0.0000  6 Al 2.82-2.89, 2 Ga 2.96, 2 Te 3.10
Ga  0.1669  0.3331  0.0000  6 Al 2.82-2.89, 2 Ga 2.96, 2 Te 3.10
Ga  0.8331  0.6669  0.0000  6 Al 2.82-2.89, 2 Ga 2.96, 2 Te 3.10
Ga  0.3331  0.8331  0.0000  6 Al 2.82-2.89, 2 Ga 2.96, 2 Te 3.10
Al  0.1290  0.6290  0.5000  6 Ga 2.82-2.89, 3 Al 2.96-3.04
Al  0.6290  0.8710  0.5000  6 Ga 2.82-2.89, 3 Al 2.96-3.04
Al  0.8710  0.3710  0.5000  6 Ga 2.82-2.89, 3 Al 2.96-3.04
Al  0.3710  0.1290  0.5000  6 Ga 2.82-2.89, 3 Al 2.96-3.04

***

No. 3
A plane-wave DFT calculation with PBE was carried out for a relaxed Be2AlPd3 crystal.

Computed properties:
DOS(E_F)	1.92	states/eV/cell
magnetization	0.00	μB/f.u.
energy	-5.129	eV per atom
SG	No. 123

Lattice parameters (Å, degrees): 2.8411 2.8411 9.2429 90.00 90.00 90.00
With the nearest neighbours (Å) after each atom.
Atoms (fractional coordinates):
Pd  0.0000  0.0000  0.3101  4 Be 2.47, 4 Al 2.67
Pd  0.0000  0.0000  0.0000  8 Be 2.46
Pd  0.0000  0.0000  0.6899  4 Be 2.47, 4 Al 2.67
Be  0.5000  0.5000  0.8460  8 Pd 2.46-2.47
Be  0.5000  0.5000  0.1540  8 Pd 2.46-2.47
Al  0.5000  0.5000  0.5000  8 Pd 2.67, 4 Al 2.84